{"formula": "Pm3DyGe2C", "functional": "PBE", "state": "optimized geometry", "ef_ev_per_atom": -0.5766, "mass_density_g_cm3": 6.96, "m_tot_mub_per_fu": 0.000, "energy_ha_per_atom": -0.21708, "lattice": [[-2.372, 2.421, 7.834], [2.372, -2.421, 7.834], [2.372, 2.421, -7.834]], "species": ["Pm", "Pm", "Pm", "Dy", "Ge", "Ge", "C"], "frac_coords": [[0.000, 0.000, 0.000], [0.331, 0.831, 0.500], [0.669, 0.169, 0.500], [0.500, 0.500, 0.000], [0.135, 0.635, 0.500], [0.865, 0.365, 0.500], [0.500, 0.000, 0.500]]}


{"formula": "DyGeRu2C", "functional": "PBE", "state": "optimized geometry", "ef_ev_per_atom": -0.4817, "mass_density_g_cm3": 9.43, "m_tot_mub_per_fu": 0.000, "energy_ha_per_atom": -0.28961, "lattice": [[1.934, -5.599, 0.000], [1.934, 5.599, 0.000], [0.000, 0.000, 7.308]], "species": ["Dy", "Dy", "Ge", "Ge", "Ru", "Ru", "Ru", "Ru", "C", "C"], "frac_coords": [[0.046, 0.954, 0.750], [0.954, 0.046, 0.250], [0.234, 0.766, 0.250], [0.766, 0.234, 0.750], [0.338, 0.662, 0.557], [0.338, 0.662, 0.943], [0.662, 0.338, 0.057], [0.662, 0.338, 0.443], [0.500, 0.500, 0.000], [0.500, 0.500, 0.500]]}


{"formula": "Dy4GeCS2", "functional": "PBE", "state": "optimized geometry", "mass_density_g_cm3": 7.76, "m_tot_mub_per_fu": 0.000, "raw_formation_energy_ev_per_atom": -1.276, "energy_ha_per_atom": -0.23297, "lattice": [[-2.765, 2.765, 5.589], [2.765, -2.765, 5.589], [2.765, 2.765, -5.589]], "species": ["Dy", "Dy", "Dy", "Dy", "Ge", "C", "S", "S"], "frac_coords": [[0.001, 0.501, 0.500], [0.223, 0.223, 0.000], [0.499, 0.999, 0.500], [0.777, 0.777, 0.000], [0.750, 0.250, 0.500], [0.000, 0.000, 0.000], [0.250, 0.750, 0.500], [0.500, 0.500, 0.000]]}


{"formula": "Dy4GeSbC", "functional": "PBE", "state": "optimized geometry", "mass_density_g_cm3": 8.16, "m_tot_mub_per_fu": 0.000, "raw_formation_energy_ev_per_atom": -0.705, "energy_ha_per_atom": -0.21686, "lattice": [[3.359, -7.709, 0.000], [3.359, 7.709, 0.000], [0.000, 0.000, 6.726]], "species": ["Dy", "Dy", "Dy", "Dy", "Dy", "Dy", "Dy", "Dy", "Ge", "Ge", "Sb", "Sb", "C", "C"], "frac_coords": [[0.000, 0.500, 0.000], [0.000, 0.500, 0.500], [0.083, 0.917, 0.750], [0.408, 0.592, 0.750], [0.500, 0.000, 0.000], [0.500, 0.000, 0.500], [0.592, 0.408, 0.250], [0.917, 0.083, 0.250], [0.114, 0.886, 0.250], [0.886, 0.114, 0.750], [0.393, 0.607, 0.250], [0.607, 0.393, 0.750], [0.246, 0.754, 0.750], [0.754, 0.246, 0.250]]}


{"formula": "Dy2ScGeC", "functional": "PBE", "state": "optimized geometry", "ef_ev_per_atom": -0.5936, "mass_density_g_cm3": 7.25, "m_tot_mub_per_fu": 0.000, "energy_ha_per_atom": -0.23773, "lattice": [[4.821, 0.000, 0.000], [0.000, 4.821, 0.000], [0.000, 0.000, 4.479]], "species": ["Dy", "Dy", "Sc", "Ge", "C"], "frac_coords": [[0.000, 0.500, 0.000], [0.500, 0.000, 0.000], [0.000, 0.000, 0.500], [0.500, 0.500, 0.500], [0.000, 0.000, 0.000]]}


{"formula": "DySc2GeC", "functional": "PBE", "state": "optimized geometry", "ef_ev_per_atom": -0.6597, "mass_density_g_cm3": 5.81, "m_tot_mub_per_fu": 0.000, "energy_ha_per_atom": -0.25287, "lattice": [[4.479, 0.000, 0.000], [0.000, 4.479, 0.000], [0.000, 0.000, 4.798]], "species": ["Dy", "Sc", "Sc", "Ge", "C"], "frac_coords": [[0.000, 0.000, 0.000], [0.000, 0.500, 0.500], [0.500, 0.000, 0.500], [0.500, 0.500, 0.000], [0.000, 0.000, 0.500]]}


{"formula": "Sm3DyGe2C", "functional": "PBE", "state": "optimized geometry", "ef_ev_per_atom": -0.5880, "mass_density_g_cm3": 7.21, "m_tot_mub_per_fu": 0.000, "energy_ha_per_atom": -0.21700, "lattice": [[-2.367, 2.406, 7.788], [2.367, -2.406, 7.788], [2.367, 2.406, -7.788]], "species": ["Sm", "Sm", "Sm", "Dy", "Ge", "Ge", "C"], "frac_coords": [[0.000, 0.000, 0.000], [0.331, 0.831, 0.500], [0.669, 0.169, 0.500], [0.500, 0.500, 0.000], [0.136, 0.636, 0.500], [0.864, 0.364, 0.500], [0.500, 0.000, 0.500]]}


{"formula": "Dy4SnGeC", "functional": "PBE", "state": "optimized geometry", "ef_ev_per_atom": -0.6379, "mass_density_g_cm3": 8.07, "m_tot_mub_per_fu": 0.000, "energy_ha_per_atom": -0.21376, "lattice": [[3.356, -7.795, 0.000], [3.356, 7.795, 0.000], [0.000, 0.000, 6.714]], "species": ["Dy", "Dy", "Dy", "Dy", "Dy", "Dy", "Dy", "Dy", "Sn", "Sn", "Ge", "Ge", "C", "C"], "frac_coords": [[0.000, 0.500, 0.000], [0.000, 0.500, 0.500], [0.083, 0.917, 0.750], [0.410, 0.590, 0.750], [0.500, 0.000, 0.000], [0.500, 0.000, 0.500], [0.590, 0.410, 0.250], [0.917, 0.083, 0.250], [0.391, 0.609, 0.250], [0.609, 0.391, 0.750], [0.114, 0.886, 0.250], [0.886, 0.114, 0.750], [0.248, 0.752, 0.750], [0.752, 0.248, 0.250]]}


Q: What is the formula in the second record?
A: DyGeRu2C


Q: Number 4 is which compound?
A: Dy4GeSbC